Entry 1:
PBE Cs3AcPm2Te6, relaxed; space group = No. 12; E_form (uncorrected) = -1666.5 kJ/mol of formula units; N(E_F) = 0.000 states/eV/cell; calculated total energy = -4.36 eV per atom
1.0
8.207 -0.001 0.000
-4.102 7.108 0.000
-1.369 -2.371 8.960
Te Cs Pm Ac
6 3 2 1
Direct
0.066 0.411 0.197
0.589 0.934 0.803
0.934 0.589 0.803
0.719 0.719 0.196
0.411 0.066 0.197
0.281 0.281 0.804
0.836 0.164 0.500
0.164 0.836 0.500
0.500 0.500 0.500
0.667 0.333 0.000
0.333 0.667 0.000
0.000 0.000 0.000

***

Entry 2:
PBE CsAc2Pr, relaxed; space group = No. 166; N(E_F) = 4.647 states/eV/cell; calculated total energy = -3.25 eV per atom
1.0
3.983 0.000 0.000
1.992 3.450 0.000
1.992 1.150 14.290
Pr Ac Cs
1 2 1
Direct
0.500 0.500 0.500
0.096 0.096 0.712
0.904 0.904 0.288
0.000 0.000 0.000

***

Entry 3:
PBE Cs4Ac3PrS8, relaxed; space group = No. 12; E_form (uncorrected) = -2859.1 kJ/mol of formula units; N(E_F) = 0.000 states/eV/cell; calculated total energy = -5.20 eV per atom
1.0
-1.491 2.217 8.471
-7.408 -6.108 0.294
7.909 -3.242 -2.416
Cs S Pr Ac
4 8 1 3
Direct
0.000 0.000 0.500
0.000 0.000 0.000
0.500 0.000 0.500
0.500 0.000 0.000
0.774 0.310 0.036
0.739 0.690 0.964
0.774 0.310 0.548
0.269 0.307 0.538
0.226 0.690 0.452
0.261 0.310 0.036
0.731 0.693 0.462
0.226 0.690 0.964
0.000 0.500 0.000
0.500 0.500 0.500
0.500 0.500 0.000
0.000 0.500 0.500

***

Entry 4:
PBE Cs3AcPr2S6, relaxed; space group = No. 12; E_form (uncorrected) = -2111.8 kJ/mol of formula units; N(E_F) = 0.000 states/eV/cell; calculated total energy = -5.24 eV per atom
1.0
7.544 -0.001 0.000
-3.771 6.534 0.000
-1.258 -2.178 8.111
S Cs Pr Ac
6 3 2 1
Direct
0.594 0.937 0.811
0.063 0.406 0.189
0.280 0.280 0.811
0.720 0.720 0.189
0.937 0.594 0.811
0.406 0.063 0.189
0.500 0.500 0.500
0.166 0.834 0.500
0.834 0.166 0.500
0.667 0.333 0.000
0.333 0.667 0.000
0.000 0.000 0.000

***

Which value of calculated total energy does entry 4 give?
-5.24 eV per atom

***

What is the formula in the fourth record?
Cs3AcPr2S6